Entry i
Entry from Alexandria via LeMat-Bulk: a relaxed structure of Na2Tc2Cl (PBE-GGA).

* size of the total moment: 2.503 μB per cell
* DOS(E_F): 3.1 states/eV/cell
* V: 135.7 Å³ per cell
* SG: I4/mmm

Cell: 6.0980 6.0980 5.6493 Å, 57.34 57.34 90.00°
Sites, in units of the cell vectors:
Tc 0.3570 0.3570 0.2860
Na 0.7500 0.2500 0.5000
Na 0.2500 0.7500 0.5000
Tc 0.6430 0.6430 0.7140
Cl 0.0000 0.0000 0.0000

Entry ii
Entry from Alexandria via LeMat-Bulk: a relaxed structure of Na2Tc2Cl (PBE-GGA).

* size of the total moment: 0.000 μB per cell
* DOS(E_F): 7.8 states/eV/cell
* V: 227.9 Å³ per cell
* SG: P4/mbm

Cell: 8.5789 8.5789 3.0971 Å, 90.00 90.00 90.00°
Sites, in units of the cell vectors:
Na 0.7968 0.2968 0.5000
Na 0.7032 0.7968 0.5000
Cl 0.5000 0.5000 0.0000
Tc 0.5849 0.0849 0.0000
Tc 0.4151 0.9151 0.0000
Na 0.2968 0.2032 0.5000
Tc 0.0849 0.4151 0.0000
Tc 0.9151 0.5849 0.0000
Cl 0.0000 0.0000 0.0000
Na 0.2032 0.7032 0.5000

Q: What are the energies relative to the best structure? A: entry i 0.167; entry ii 0.000, in eV/atom.

Entry i
Entry from Alexandria via LeMat-Bulk: a relaxed structure of Na2TeCl6 (PBE-GGA).

* size of the total moment: 0.000 μB per cell
* DOS(E_F): 0.0 states/eV/cell
* V: 543.2 Å³ per cell
* SG: P2_1/c

Cell: 7.0239 6.6783 11.5793 Å, 90.00 90.02 90.00°
Sites, in units of the cell vectors:
Cl 0.3031 0.7853 0.4989
Cl 0.8031 0.7147 0.9989
Te 0.0000 0.0000 0.5000
Cl 0.1969 0.2853 0.0011
Na 0.0006 0.5021 0.1840
Cl 0.6576 0.2847 0.1582
Cl 0.3424 0.7153 0.8418
Cl 0.6580 0.2785 0.8447
Cl 0.1580 0.2215 0.3447
Cl 0.6969 0.2147 0.5011
Cl 0.3420 0.7215 0.1553
Cl 0.8420 0.7785 0.6553
Te 0.5000 0.5000 0.0000
Na 0.9994 0.4979 0.8160
Na 0.4994 0.0021 0.3160
Cl 0.1576 0.2153 0.6582
Cl 0.8424 0.7847 0.3418
Na 0.5006 0.9979 0.6840

Entry ii
Entry from Alexandria via LeMat-Bulk: a relaxed structure of Na2TeCl6 (PBE-GGA).

* size of the total moment: 0.000 μB per cell
* DOS(E_F): 0.0 states/eV/cell
* V: 523.5 Å³ per cell
* SG: P4_2/mnm

Cell: 6.5014 6.5014 12.3842 Å, 90.00 90.00 90.00°
Sites, in units of the cell vectors:
Cl 0.8108 0.1892 0.8470
Te 0.0000 0.0000 0.0000
Cl 0.7194 0.7194 0.0000
Cl 0.6892 0.6892 0.3470
Cl 0.2194 0.7806 0.5000
Cl 0.8108 0.1892 0.1530
Te 0.5000 0.5000 0.5000
Cl 0.1892 0.8108 0.1530
Cl 0.2806 0.2806 0.0000
Na 0.0000 0.0000 0.3339
Cl 0.1892 0.8108 0.8470
Cl 0.3108 0.3108 0.3470
Cl 0.3108 0.3108 0.6530
Cl 0.7806 0.2194 0.5000
Na 0.5000 0.5000 0.1661
Na 0.0000 0.0000 0.6661
Na 0.5000 0.5000 0.8339
Cl 0.6892 0.6892 0.6530

Q: What are the energies relative to the best structure? A: entry i 0.000; entry ii 0.018, in eV/atom.

Entry i
Entry from Alexandria via LeMat-Bulk: a relaxed structure of NaTeCl3 (PBE-GGA).

* size of the total moment: 0.000 μB per cell
* DOS(E_F): 3.2 states/eV/cell
* V: 126.5 Å³ per cell
* SG: Pm-3m

Cell: 5.0202 5.0202 5.0202 Å, 90.00 90.00 90.00°
Sites, in units of the cell vectors:
Te 0.5000 0.5000 0.5000
Cl 0.5000 0.0000 0.0000
Na 0.0000 0.0000 0.0000
Cl 0.0000 0.0000 0.5000
Cl 0.0000 0.5000 0.0000

Entry ii
Entry from Alexandria via LeMat-Bulk: a relaxed structure of NaTeCl3 (PBE-GGA).

* size of the total moment: 0.000 μB per cell
* V: 355.1 Å³ per cell
* SG: P-1

Cell: 8.1633 13.3130 9.3874 Å, 47.06 119.33 150.30°
Sites, in units of the cell vectors:
Cl 0.0204 0.5220 0.9636
Cl 0.9357 0.3240 0.4579
Te 0.1612 0.4232 0.7152
Te 0.7948 0.4227 0.7063
Na 0.4427 0.5740 0.2233
Cl 0.8829 0.7363 0.4845
Cl 0.4650 0.5328 0.9661
Cl 0.0731 0.1097 0.9370
Cl 0.4910 0.3131 0.4555
Na 0.5134 0.2719 0.1983

Entry iii
Entry from Alexandria via LeMat-Bulk: a relaxed structure of NaTeCl3 (PBE-GGA).

* size of the total moment: 0.000 μB per cell
* DOS(E_F): 1.1 states/eV/cell
* V: 169.2 Å³ per cell
* SG: Pm-3m

Cell: 5.5311 5.5311 5.5311 Å, 90.00 90.00 90.00°
Sites, in units of the cell vectors:
Te 0.0000 0.0000 0.0000
Na 0.5000 0.5000 0.5000
Cl 0.5000 0.0000 0.0000
Cl 0.0000 0.5000 0.0000
Cl 0.0000 0.0000 0.5000

Entry iv
Entry from Alexandria via LeMat-Bulk: a relaxed structure of NaTeCl3 (PBE-GGA).

* size of the total moment: 0.000 μB per cell
* V: 315.7 Å³ per cell
* SG: P-1

Cell: 4.3510 9.0760 9.0690 Å, 75.64 70.91 70.83°
Sites, in units of the cell vectors:
Cl 0.7340 0.3236 0.7628
Na 0.2918 0.7850 0.2249
Na 0.1934 0.1191 0.5574
Cl 0.7498 0.5809 0.0195
Te 0.7432 0.6345 0.7079
Cl 0.7559 0.9827 0.1024
Te 0.7413 0.2699 0.0744
Cl 0.7593 0.6604 0.4209
Cl 0.7294 0.9216 0.6794
Cl 0.7253 0.2439 0.3614

Q: What are the energies relative to the best structure? A: entry i 0.636; entry ii 0.000; entry iii 0.233; entry iv 0.018, in eV/atom.

Entry i
Entry from Alexandria via LeMat-Bulk: a relaxed structure of NaTeCl2 (PBE-GGA).

* size of the total moment: 2.850 μB per cell
* DOS(E_F): 2.1 states/eV/cell
* V: 109.0 Å³ per cell
* SG: Fm-3m

Cell: 5.3623 5.3623 5.3623 Å, 60.00 60.00 60.00°
Sites, in units of the cell vectors:
Cl 0.7500 0.7500 0.7500
Te 0.5000 0.5000 0.5000
Na 0.0000 0.0000 0.0000
Cl 0.2500 0.2500 0.2500

Entry ii
Entry from Alexandria via LeMat-Bulk: a relaxed structure of NaTeCl2 (PBE-GGA).

* size of the total moment: 0.000 μB per cell
* DOS(E_F): 2.1 states/eV/cell
* V: 112.0 Å³ per cell
* SG: R-3m

Cell: 8.6801 8.6801 8.6801 Å, 26.16 26.16 26.16°
Sites, in units of the cell vectors:
Te 0.0000 0.0000 0.0000
Na 0.5000 0.5000 0.5000
Cl 0.8963 0.8963 0.8963
Cl 0.1037 0.1037 0.1037

Q: What are the energies relative to the best structure? A: entry i 0.489; entry ii 0.000, in eV/atom.

Entry i
Entry from Alexandria via LeMat-Bulk: a relaxed structure of NaTeCl2 (PBE-GGA).

* size of the total moment: 0.000 μB per cell
* DOS(E_F): 7.0 states/eV/cell
* V: 214.4 Å³ per cell
* SG: I-42d

Cell: 7.7489 7.7489 6.5396 Å, 53.67 53.67 90.00°
Sites, in units of the cell vectors:
Te 0.0000 0.0000 0.0000
Cl 0.3750 0.3864 0.7500
Cl 0.1364 0.6250 0.2500
Cl 0.6136 0.1250 0.2500
Te 0.7500 0.2500 0.5000
Na 0.2500 0.7500 0.5000
Na 0.5000 0.5000 0.0000
Cl 0.8750 0.8636 0.7500

Entry ii
Entry from Alexandria via LeMat-Bulk: a relaxed structure of NaTeCl2 (PBE-GGA).

* size of the total moment: 0.307 μB per cell
* DOS(E_F): 3.7 states/eV/cell
* V: 110.4 Å³ per cell
* SG: R-3m

Cell: 10.0171 10.0171 10.0171 Å, 20.74 20.74 20.74°
Sites, in units of the cell vectors:
Te 0.5000 0.5000 0.5000
Na 0.0000 0.0000 0.0000
Cl 0.9158 0.9158 0.9158
Cl 0.0842 0.0842 0.0842

Q: What are the energies relative to the best structure? A: entry i 0.000; entry ii 0.220, in eV/atom.

Entry i
Entry from Alexandria via LeMat-Bulk: a relaxed structure of NaTiCl3 (PBE-GGA).

* size of the total moment: 2.000 μB per cell
* DOS(E_F): 0.0 states/eV/cell
* V: 122.5 Å³ per cell
* SG: Pm-3m

Cell: 4.9670 4.9670 4.9670 Å, 90.00 90.00 90.00°
Sites, in units of the cell vectors:
Cl 0.0000 0.0000 0.5000
Ti 0.5000 0.5000 0.5000
Cl 0.0000 0.5000 0.0000
Cl 0.5000 0.0000 0.0000
Na 0.0000 0.0000 0.0000

Entry ii
Entry from Alexandria via LeMat-Bulk: a relaxed structure of NaTiCl3 (PBE-GGA).

* size of the total moment: 2.000 μB per cell
* DOS(E_F): 5.4 states/eV/cell
* V: 123.6 Å³ per cell
* SG: Pm-3m

Cell: 4.9819 4.9819 4.9819 Å, 90.00 90.00 90.00°
Sites, in units of the cell vectors:
Cl 0.5000 0.0000 0.0000
Na 0.5000 0.5000 0.5000
Cl 0.0000 0.0000 0.5000
Ti 0.0000 0.0000 0.0000
Cl 0.0000 0.5000 0.0000

Q: What are the energies relative to the best structure? A: entry i 0.784; entry ii 0.000, in eV/atom.

Entry i
Entry from Alexandria via LeMat-Bulk: a relaxed structure of NaTiCl3 (PBE-GGA).

* size of the total moment: 0.000 μB per cell
* DOS(E_F): 2.0 states/eV/cell
* V: 212.3 Å³ per cell
* SG: C2/m

Cell: 3.3839 7.3953 8.8092 Å, 98.17 90.00 103.23°
Sites, in units of the cell vectors:
Cl 0.6251 0.2501 0.0018
Cl 0.0631 0.1262 0.6716
Cl 0.3749 0.7499 0.9982
Cl 0.9369 0.8738 0.3284
Na 0.5961 0.1922 0.4242
Na 0.4039 0.8077 0.5757
Ti 0.2127 0.4254 0.8724
Cl 0.7682 0.5364 0.6880
Cl 0.2318 0.4636 0.3120
Ti 0.7873 0.5745 0.1276

Entry ii
Entry from Alexandria via LeMat-Bulk: a relaxed structure of NaTiCl3 (PBE-GGA).

* size of the total moment: 4.017 μB per cell
* DOS(E_F): 1.5 states/eV/cell
* V: 271.4 Å³ per cell
* SG: Ama2

Cell: 4.8688 6.4342 9.2403 Å, 110.37 90.00 90.00°
Sites, in units of the cell vectors:
Na 0.7500 0.3450 0.3257
Na 0.2500 0.0193 0.6743
Cl 0.2500 0.4893 0.8686
Ti 0.7500 0.5749 0.8538
Cl 0.7500 0.6207 0.1314
Cl 0.2500 0.6779 0.3983
Cl 0.7500 0.9198 0.8093
Cl 0.7500 0.2796 0.6017
Ti 0.2500 0.7211 0.1462
Cl 0.2500 0.1106 0.1907

Q: What are the energies relative to the best structure? A: entry i 0.000; entry ii 0.139, in eV/atom.

Entry i
Entry from Alexandria via LeMat-Bulk: a relaxed structure of Na3TiCl (PBE-GGA).

* size of the total moment: 3.928 μB per cell
* DOS(E_F): 12.1 states/eV/cell
* V: 156.0 Å³ per cell
* SG: Pm-3m

Cell: 5.3831 5.3831 5.3831 Å, 90.00 90.00 90.00°
Sites, in units of the cell vectors:
Na 0.0000 0.5000 0.0000
Na 0.5000 0.0000 0.0000
Na 0.0000 0.0000 0.5000
Ti 0.5000 0.5000 0.5000
Cl 0.0000 0.0000 0.0000

Entry ii
Entry from Alexandria via LeMat-Bulk: a relaxed structure of Na3TiCl (PBE-GGA).

* size of the total moment: 3.985 μB per cell
* DOS(E_F): 14.9 states/eV/cell
* V: 228.0 Å³ per cell
* SG: Pm-3m

Cell: 6.1092 6.1092 6.1092 Å, 90.00 90.00 90.00°
Sites, in units of the cell vectors:
Na 0.0000 0.0000 0.5000
Cl 0.5000 0.5000 0.5000
Ti 0.0000 0.0000 0.0000
Na 0.5000 0.0000 0.0000
Na 0.0000 0.5000 0.0000

Q: What are the energies relative to the best structure? A: entry i 0.000; entry ii 0.541, in eV/atom.

Entry i
Entry from Alexandria via LeMat-Bulk: a relaxed structure of Na2TiCl5 (PBE-GGA).

* size of the total moment: 2.000 μB per cell
* DOS(E_F): 5.9 states/eV/cell
* V: 453.7 Å³ per cell
* SG: Cmcm

Cell: 4.8830 7.4507 13.2007 Å, 90.00 90.00 109.13°
Sites, in units of the cell vectors:
Cl 0.7126 0.4251 0.8860
Cl 0.2874 0.5749 0.1140
Na 0.1439 0.2878 0.9434
Cl 0.3246 0.6492 0.7500
Ti 0.8349 0.6698 0.7500
Cl 0.0449 0.0898 0.3771
Cl 0.7126 0.4251 0.6140
Na 0.1439 0.2878 0.5566
Cl 0.9551 0.9102 0.8771
Ti 0.1651 0.3302 0.2500
Cl 0.2874 0.5749 0.3860
Cl 0.0449 0.0898 0.1229
Cl 0.9551 0.9102 0.6229
Cl 0.6754 0.3508 0.2500
Na 0.8561 0.7122 0.4434
Na 0.8561 0.7122 0.0566

Entry ii
Entry from Alexandria via LeMat-Bulk: a relaxed structure of Na2TiCl5 (PBE-GGA).

* size of the total moment: 1.000 μB per cell
* DOS(E_F): 4.1 states/eV/cell
* V: 222.7 Å³ per cell
* SG: Fmmm

Cell: 5.0418 6.9751 7.2456 Å, 82.78 69.64 68.81°
Sites, in units of the cell vectors:
Na 0.8090 0.5000 0.8819
Cl 0.7568 0.2515 0.2348
Cl 0.0000 0.5000 0.5000
Cl 0.4917 0.2515 0.7652
Cl 0.5083 0.7485 0.2348
Ti 0.5000 0.5000 0.5000
Na 0.1910 0.5000 0.1181
Cl 0.2432 0.7485 0.7652

Q: What are the energies relative to the best structure? A: entry i 0.000; entry ii 0.104, in eV/atom.

Entry i
Entry from Alexandria via LeMat-Bulk: a relaxed structure of Na2Ti2Cl7 (PBE-GGA).

* size of the total moment: 3.000 μB per cell
* DOS(E_F): 6.9 states/eV/cell
* V: 279.5 Å³ per cell
* SG: C2/m

Cell: 6.4811 6.7217 6.7217 Å, 72.68 89.43 89.43°
Sites, in units of the cell vectors:
Cl 0.2296 0.9225 0.4856
Cl 0.7704 0.5144 0.0775
Na 0.5000 0.2733 0.7267
Cl 0.7736 0.5807 0.5807
Cl 0.2296 0.4856 0.9225
Cl 0.0000 0.0000 0.0000
Cl 0.2264 0.4193 0.4193
Ti 0.9698 0.7635 0.7635
Cl 0.7704 0.0775 0.5144
Na 0.5000 0.7267 0.2733
Ti 0.0302 0.2365 0.2365

Entry ii
Entry from Alexandria via LeMat-Bulk: a relaxed structure of Na2Ti2Cl7 (PBE-GGA).

* size of the total moment: 1.015 μB per cell
* DOS(E_F): 1.1 states/eV/cell
* V: 307.2 Å³ per cell
* SG: C2/m

Cell: 6.7740 7.2095 7.2095 Å, 117.95 94.62 94.62°
Sites, in units of the cell vectors:
Cl 0.0000 0.0000 0.0000
Cl 0.7464 0.5884 0.5884
Na 0.5000 0.2938 0.7062
Cl 0.2473 0.9186 0.5772
Cl 0.2536 0.4116 0.4116
Ti 0.0920 0.6852 0.6852
Cl 0.7527 0.0814 0.4228
Na 0.5000 0.7062 0.2938
Cl 0.7527 0.4228 0.0814
Ti 0.9080 0.3148 0.3148
Cl 0.2473 0.5772 0.9186

Q: What are the energies relative to the best structure? A: entry i 0.071; entry ii 0.000, in eV/atom.

Entry i
Entry from Alexandria via LeMat-Bulk: a relaxed structure of NaTl2Cl (PBE-GGA).

* size of the total moment: 0.000 μB per cell
* DOS(E_F): 3.4 states/eV/cell
* V: 286.3 Å³ per cell
* SG: I-42d

Cell: 10.2262 10.2262 7.7320 Å, 48.60 48.60 90.00°
Sites, in units of the cell vectors:
Tl 0.0476 0.6250 0.2500
Tl 0.7024 0.1250 0.2500
Cl 0.0000 0.0000 0.0000
Tl 0.8750 0.9524 0.7500
Tl 0.3750 0.2976 0.7500
Cl 0.7500 0.2500 0.5000
Na 0.2500 0.7500 0.5000
Na 0.5000 0.5000 0.0000

Entry ii
Entry from Alexandria via LeMat-Bulk: a relaxed structure of NaTl2Cl (PBE-GGA).

* size of the total moment: 0.000 μB per cell
* DOS(E_F): 2.2 states/eV/cell
* V: 122.2 Å³ per cell
* SG: Fm-3m

Cell: 5.5699 5.5699 5.5699 Å, 60.00 60.00 60.00°
Sites, in units of the cell vectors:
Tl 0.7500 0.7500 0.7500
Cl 0.5000 0.5000 0.5000
Tl 0.2500 0.2500 0.2500
Na 0.0000 0.0000 0.0000

Q: What are the energies relative to the best structure? A: entry i 0.000; entry ii 0.133, in eV/atom.